[1]
VASP calculation (PBE-GGA) on a relaxed Zr3CrIr crystal.

```
Zr3CrIr
1.0
4.708 0.000 0.000
0.000 4.708 0.000
0.000 0.000 4.708
Zr Cr Ir
3 1 1
Direct
0.000 0.000 0.500
0.000 0.500 0.000
0.500 0.000 0.000
0.000 0.000 0.000
0.500 0.500 0.500
```

Uncorrected energy, eV/atom: -8.26
E_form, kJ per mole of atoms: 55.0
SG: No. 221
E above lowest polymorph, eV/atom: 0.000
DOS(E_F), states/eV per atom: 0.99

[2]
VASP calculation (PBE-GGA) on a relaxed P3Pb crystal.

```
P3Pb
1.0
4.618 0.000 0.000
0.000 4.618 0.000
0.000 0.000 3.638
P Pb
3 1
Direct
0.000 0.000 0.000
0.000 0.500 0.500
0.500 0.000 0.500
0.500 0.500 0.000
```

Uncorrected energy, eV/atom: -4.21
E_form, kJ per mole of atoms: 74.7
SG: No. 123
DOS(E_F), states/eV per atom: 0.44

[3]
VASP calculation (PBE-GGA) on a relaxed Ce2Ga3Ni4 crystal.

```
Ce2Ga3Ni4
1.0
2.804 -7.718 0.000
2.804 7.718 0.000
0.000 0.000 6.731
Ce Ga Ni
4 6 8
Direct
0.106 0.894 0.921
0.394 0.606 0.421
0.606 0.394 0.579
0.894 0.106 0.079
0.000 0.000 0.500
0.014 0.486 0.750
0.486 0.014 0.250
0.500 0.500 0.000
0.514 0.986 0.750
0.986 0.514 0.250
0.167 0.833 0.516
0.176 0.324 0.750
0.324 0.176 0.250
0.333 0.667 0.016
0.667 0.333 0.984
0.676 0.824 0.750
0.824 0.676 0.250
0.833 0.167 0.484
```

Uncorrected energy, eV/atom: -5.41
E_form, kJ per mole of atoms: -49.7
SG: No. 64
DOS(E_F), states/eV per atom: 0.98

Record-wise volume values, in Å³/cell: 104.36 77.57 291.36